1.
Tl2CdAg at its PBEsol-relaxed geometry, computed with meta-GGA SCAN.

POSCAR file:
```
Tl2CdAg
1.0
3.269 0.000 0.000
0.000 3.269 0.000
0.000 0.000 8.760
Tl Cd Ag
2 1 1
direct
0.000 0.000 0.000
0.500 0.500 0.306
0.500 0.500 0.732
0.000 0.000 0.540
```

Summary:
energy	-51.57	eV per atom
theoretical density	11.16	g cm⁻³
polymorph energy (0 for the lowest one)	0	meV/atom
formation enthalpy at 0 K	0.20	eV/f.u.
spin magnetization	0.00	μB per formula unit

=====

2.
TlCd2Ag at its PBEsol-relaxed geometry, computed with meta-GGA SCAN.

POSCAR file:
```
TlCd2Ag
1.0
3.073 0.000 0.000
0.000 3.262 0.000
0.000 0.000 8.572
Tl Cd Ag
1 2 1
direct
0.000 0.000 0.000
0.500 0.500 0.287
0.500 0.500 0.713
0.000 0.000 0.500
```

Summary:
energy	-41.11	eV per atom
theoretical density	10.38	g cm⁻³
polymorph energy (0 for the lowest one)	0	meV/atom
formation enthalpy at 0 K	0.13	eV/f.u.
spin magnetization	0.00	μB per formula unit